The following is a DFT calculation (PBE) of a geometry-optimized U3Tl2PtO12 structure.

The calculation puts the formation energy without anion corrections at -2.266 eV per atom. Its symmetry is R-3m (166).

Cell lengths 7.6134, 7.6134, 7.6134 Å; angles 62.96, 62.96, 62.96 degrees
Fractional coordinates of all 18 atoms:
U 0.0000 0.5000 0.5000
U 0.5000 0.0000 0.5000
U 0.5000 0.5000 0.0000
Tl 0.1607 0.1607 0.1607
Tl 0.8393 0.8393 0.8393
Pt 0.5000 0.5000 0.5000
O 0.1814 0.1814 0.5483
O 0.1814 0.5483 0.1814
O 0.1968 0.5593 0.5593
O 0.4407 0.4407 0.8032
O 0.4407 0.8032 0.4407
O 0.4517 0.8186 0.8186
O 0.5483 0.1814 0.1814
O 0.5593 0.1968 0.5593
O 0.5593 0.5593 0.1968
O 0.8032 0.4407 0.4407
O 0.8186 0.4517 0.8186
O 0.8186 0.8186 0.4517

The following is a DFT calculation (PBE) of a geometry-optimized Pm4Pr3Tm structure.

The value obtained for the total energy is -36.17 eV/cell. The value obtained for the density of states at the Fermi level is 11.86 states/eV/cell. Its symmetry is C2/m (12).

Cell lengths 12.9492, 12.9492, 6.2731 Å; angles 95.01, 95.01, 15.57 degrees
Fractional coordinates of all 8 atoms:
Pm 0.1053 0.1053 0.2385
Pm 0.2789 0.2789 0.7622
Pm 0.7211 0.7211 0.2378
Pm 0.8947 0.8947 0.7615
Pr 0.0000 0.0000 0.5000
Pr 0.1444 0.1444 0.7534
Pr 0.8556 0.8556 0.2466
Tm 0.5000 0.5000 0.0000

The following is a DFT calculation (PBE) of a geometry-optimized Ca2Mg structure.

The value obtained for the total energy is -11.06 eV/cell. The value obtained for the density of states at the Fermi level is 4.44 states/eV/cell. Its symmetry is P-62m (189).

Cell lengths 6.4022, 6.4022, 5.9132 Å; angles 90.00, 90.00, 120.00 degrees
Fractional coordinates of all 6 atoms:
Ca 0.0000 0.0000 0.0000
Ca 0.0000 0.6514 0.5000
Ca 0.3486 0.3486 0.5000
Ca 0.6514 0.0000 0.5000
Mg 0.3333 0.6667 0.0000
Mg 0.6667 0.3333 0.0000

The following is a DFT calculation (PBE) of a geometry-optimized Ir3Os structure.

The value obtained for the total energy is -75.22 eV/cell. The value obtained for the density of states at the Fermi level is 7.73 states/eV/cell. Its symmetry is Pmmn (59).

Cell lengths 4.4120, 5.5049, 4.7755 Å; angles 90.00, 90.00, 90.00 degrees
Fractional coordinates of all 8 atoms:
Ir 0.2500 0.0021 0.1663
Ir 0.2500 0.4979 0.1663
Ir 0.2500 0.7500 0.6613
Ir 0.7500 0.2500 0.3387
Ir 0.7500 0.5021 0.8337
Ir 0.7500 0.9979 0.8337
Os 0.2500 0.2500 0.6705
Os 0.7500 0.7500 0.3295

Calculated density (g/cm3)
7.54 6.92 1.65 21.96